1:
The following is a DFT calculation (SCAN) of Li2CdHg at its PBEsol-relaxed geometry.

Computed properties:
Fermi-level density of states: 1.13 states/eV/cell

Cell: 3.260 3.260 6.483 Å, 90.00 90.00 90.00°
Space group P4/mmm (No. 123)
Asymmetric unit:
1 Li 0.000 0.000 0.242 [2 per cell]
2 Cd 0.500 0.500 0.500 [1 per cell]
3 Hg 0.500 0.500 0.000 [1 per cell]

2:
The following is a DFT calculation (SCAN) of Li2CdHg at its PBEsol-relaxed geometry.

Computed properties:
Fermi-level density of states: 1.35 states/eV/cell

Cell: 3.148 3.896 5.981 Å, 90.00 90.00 90.00°
Space group Pmm2 (No. 25)
Asymmetric unit:
1 Li 0.000 0.000 0.000 [1 per cell]
2 Li 0.500 0.500 0.267 [1 per cell]
3 Cd 0.000 0.000 0.493 [1 per cell]
4 Hg 0.500 0.500 0.792 [1 per cell]

It is 2 that is the least stable of them.

1:
The following is a DFT calculation (SCAN) of Li2CdHg at its PBEsol-relaxed geometry.

Computed properties:
Fermi-level density of states: 2.30 states/eV/cell

Cell: 4.176 4.176 8.128 Å, 90.00 90.00 90.00°
Space group I-4m2 (No. 119)
Asymmetric unit:
1 Li 0.000 0.000 0.000 [2 per cell]
2 Li 0.000 0.500 0.250 [2 per cell]
3 Cd 0.000 0.500 0.750 [2 per cell]
4 Hg 0.000 0.000 0.500 [2 per cell]

2:
The following is a DFT calculation (SCAN) of Li2CdHg at its PBEsol-relaxed geometry.

Computed properties:
Fermi-level density of states: 1.29 states/eV/cell

Cell: 3.350 3.350 6.417 Å, 90.00 90.00 90.00°
Space group P4mm (No. 99)
Asymmetric unit:
1 Li 0.000 0.000 0.000 [1 per cell]
2 Li 0.500 0.500 0.251 [1 per cell]
3 Cd 0.000 0.000 0.484 [1 per cell]
4 Hg 0.500 0.500 0.790 [1 per cell]

3:
The following is a DFT calculation (SCAN) of Li2CdHg at its PBEsol-relaxed geometry.

Computed properties:
Fermi-level density of states: 3.91 states/eV/cell

Cell: 6.592 6.592 6.592 Å, 90.00 90.00 90.00°
Space group F-43m (No. 216)
Asymmetric unit:
1 Li 0.000 0.000 0.000 [4 per cell]
2 Li 0.250 0.250 0.250 [4 per cell]
3 Cd 0.000 0.000 0.500 [4 per cell]
4 Hg 0.250 0.250 0.750 [4 per cell]

4:
The following is a DFT calculation (SCAN) of Li2CdHg at its PBEsol-relaxed geometry.

Computed properties:
Fermi-level density of states: 4.27 states/eV/cell

Cell: 3.0826 3.0826 27.7969 Å, 90.00 90.00 120.00°
Space group R-3m (No. 166, hexagonal axes)
Asymmetric unit:
1 Li 0.0000 0.0000 0.2479 [6 per cell]
2 Cd 0.0000 0.0000 0.0000 [3 per cell]
3 Hg 0.0000 0.0000 0.5000 [3 per cell]

It is 4 that is the least stable of them.

1:
The following is a DFT calculation (SCAN) of Mg2CdHg2 at its PBEsol-relaxed geometry.

Computed properties:
Fermi-level density of states: 2.45 states/eV/cell

Cell: 7.754 7.754 3.550 Å, 90.00 90.00 90.00°
Space group P4/mbm (No. 127)
Asymmetric unit:
1 Mg 0.159 0.341 0.000 [4 per cell]
2 Cd 0.000 0.000 0.500 [2 per cell]
3 Hg 0.141 0.641 0.500 [4 per cell]

2:
The following is a DFT calculation (SCAN) of Mg2CdHg2 at its PBEsol-relaxed geometry.

Computed properties:
Fermi-level density of states: 4.15 states/eV/cell

Cell: 4.249 4.249 12.880 Å, 90.00 90.00 90.00°
Space group I4/mmm (No. 139)
Asymmetric unit:
1 Mg 0.000 0.500 0.250 [4 per cell]
2 Cd 0.000 0.000 0.000 [2 per cell]
3 Hg 0.000 0.000 0.394 [4 per cell]

It is 2 that is the least stable of them.